Entry 1:
Here is an optimized crystal structure of TaMn2Co from Alexandria via LeMat-Bulk. Energies are from GGA-PBE.

Unit cell a=4.054 b=4.054 c=3.205 alpha=90.00 beta=90.00 gamma=90.03
Site moments in Bohr magnetons follow the coordinates.
Element x y z (fractional)
Mn  0.500  0.500  0.000  2.15
Mn  0.000  0.000  0.000  2.15
Ta  0.500  0.000  0.500  -0.52
Co  0.000  0.500  0.500  1.38

Calculated values
- Formation energy: -0.02 eV per atom
- ΔE to the lowest computed polymorph: 46 meV per atom
- Total DFT energy (no corrections): -9.342 eV/atom



Entry 2:
Here is an optimized crystal structure of TaMn2Co from Alexandria via LeMat-Bulk. Energies are from GGA-PBE.

Unit cell a=4.771 b=4.889 c=2.683 alpha=78.24 beta=81.68 gamma=116.63
Site moments in Bohr magnetons follow the coordinates.
Element x y z (fractional)
Co  0.500  0.500  0.000  1.30
Mn  0.000  0.000  0.000  1.90
Mn  0.500  0.000  0.500  1.90
Ta  0.000  0.500  0.500  -0.38

Calculated values
- Formation energy: 0.11 eV per atom
- ΔE to the lowest computed polymorph: 176 meV per atom
- Total DFT energy (no corrections): -9.213 eV/atom



Entry 3:
Here is an optimized crystal structure of TaMn2Co from Alexandria via LeMat-Bulk. Energies are from GGA-PBE.

Unit cell a=3.035 b=3.035 c=5.756 alpha=90.00 beta=90.00 gamma=90.00
Site moments in Bohr magnetons follow the coordinates.
Element x y z (fractional)
Co  0.500  0.500  0.750  1.69
Mn  0.000  0.000  0.984  2.07
Mn  0.000  0.000  0.516  2.07
Ta  0.500  0.500  0.250  -0.49

Calculated values
- Formation energy: 0.00 eV per atom
- ΔE to the lowest computed polymorph: 62 meV per atom
- Total DFT energy (no corrections): -9.327 eV/atom



Entry 4:
Here is an optimized crystal structure of TaMn2Co from Alexandria via LeMat-Bulk. Energies are from GGA-PBE.

Unit cell a=3.023 b=3.023 c=5.765 alpha=90.00 beta=90.00 gamma=90.00
Site moments in Bohr magnetons follow the coordinates.
Element x y z (fractional)
Ta  0.000  0.000  0.499  0.01
Mn  0.000  0.000  0.002  3.01
Mn  0.500  0.500  0.237  -0.31
Co  0.500  0.500  0.761  1.15

Calculated values
- Formation energy: -0.05 eV per atom
- ΔE to the lowest computed polymorph: 17 meV per atom
- Total DFT energy (no corrections): -9.372 eV/atom



Entry 5:
Here is an optimized crystal structure of Ta5Mn4Co from Alexandria via LeMat-Bulk. Energies are from GGA-PBE.

Unit cell a=3.065 b=3.065 c=15.319 alpha=90.00 beta=90.00 gamma=90.00
Site moments in Bohr magnetons follow the coordinates.
Element x y z (fractional)
Mn  0.000  0.000  0.600  0.03
Mn  0.000  0.000  0.800  0.05
Mn  0.000  0.000  0.400  0.03
Mn  0.000  0.000  0.200  0.05
Ta  0.500  0.500  0.699  -0.01
Ta  0.500  0.500  0.898  0.08
Ta  0.500  0.500  0.301  -0.01
Ta  0.500  0.500  0.102  0.08
Ta  0.500  0.500  0.500  -0.01
Co  0.000  0.000  0.000  1.27

Calculated values
- Formation energy: -0.22 eV per atom
- Total DFT energy (no corrections): -10.522 eV/atom



Entry 6:
Here is an optimized crystal structure of TaMnCo5 from Alexandria via LeMat-Bulk. Energies are from GGA-PBE.

Unit cell a=3.712 b=3.712 c=6.222 alpha=90.00 beta=90.00 gamma=90.00
Site moments in Bohr magnetons follow the coordinates.
Element x y z (fractional)
Co  0.000  0.500  0.212  0.29
Co  0.000  0.500  0.788  0.29
Co  0.500  0.000  0.788  0.29
Co  0.500  0.500  0.500  0.92
Co  0.500  0.000  0.212  0.29
Ta  0.000  0.000  0.500  -0.17
Mn  0.500  0.500  0.000  0.80

Calculated values
- Formation energy: 0.18 eV per atom
- Total DFT energy (no corrections): -7.899 eV/atom



Entry 7:
Here is an optimized crystal structure of Ta2MnCo9 from Alexandria via LeMat-Bulk. Energies are from GGA-PBE.

Unit cell a=3.608 b=3.608 c=10.802 alpha=90.00 beta=90.00 gamma=90.00
Site moments in Bohr magnetons follow the coordinates.
Element x y z (fractional)
Co  0.000  0.500  0.845  -0.80
Co  0.500  0.500  0.672  -0.55
Co  0.500  0.500  0.328  -0.55
Co  0.500  0.000  0.500  -0.56
Co  0.000  0.500  0.155  -0.80
Co  0.500  0.000  0.845  -0.80
Co  0.500  0.000  0.155  -0.80
Co  0.500  0.500  0.000  -1.19
Co  0.000  0.500  0.500  -0.56
Mn  0.000  0.000  0.000  2.60
Ta  0.000  0.000  0.669  0.23
Ta  0.000  0.000  0.331  0.23

Calculated values
- Formation energy: -0.13 eV per atom
- Total DFT energy (no corrections): -8.198 eV/atom



Entry 8:
Here is an optimized crystal structure of Ta2MnCo2 from Alexandria via LeMat-Bulk. Energies are from GGA-PBE.

Unit cell a=6.158 b=6.158 c=3.648 alpha=90.00 beta=90.00 gamma=90.00
Element x y z (fractional)
Co  0.130  0.370  0.000
Co  0.870  0.630  0.000
Co  0.630  0.130  0.000
Co  0.370  0.870  0.000
Ta  0.178  0.678  0.500
Ta  0.822  0.322  0.500
Ta  0.678  0.822  0.500
Ta  0.322  0.178  0.500
Mn  0.000  0.000  0.000
Mn  0.500  0.500  0.000

Calculated values
- Formation energy: -0.01 eV per atom
- Total DFT energy (no corrections): -9.423 eV/atom



Entry 9:
Here is an optimized crystal structure of Ta2MnCo from Alexandria via LeMat-Bulk. Energies are from GGA-PBE.

Unit cell a=4.340 b=4.340 c=4.340 alpha=60.00 beta=60.00 gamma=60.00
Site moments in Bohr magnetons follow the coordinates.
Element x y z (fractional)
Ta  0.250  0.250  0.250  0.06
Ta  0.750  0.750  0.750  0.06
Mn  0.000  0.000  0.000  0.25
Co  0.500  0.500  0.500  1.25

Calculated values
- Formation energy: -0.16 eV per atom
- ΔE to the lowest computed polymorph: 6 meV per atom
- Total DFT energy (no corrections): -10.158 eV/atom



Entry 10:
Here is an optimized crystal structure of TaMn3Co from Alexandria via LeMat-Bulk. Energies are from GGA-PBE.

Unit cell a=4.135 b=4.135 c=4.135 alpha=90.00 beta=90.00 gamma=90.00
Element x y z (fractional)
Ta  0.500  0.500  0.500
Mn  0.000  0.000  0.500
Mn  0.000  0.500  0.000
Mn  0.500  0.000  0.000
Co  0.000  0.000  0.000

Calculated values
- Formation energy: 1.12 eV per atom
- ΔE to the lowest computed polymorph: 0 meV per atom
- Total DFT energy (no corrections): -8.175 eV/atom



Entry 11:
Here is an optimized crystal structure of Ta2MnCo from Alexandria via LeMat-Bulk. Energies are from GGA-PBE.

Unit cell a=3.984 b=3.984 c=8.679 alpha=76.73 beta=76.73 gamma=90.00
Element x y z (fractional)
Mn  0.500  0.500  0.000
Mn  0.250  0.750  0.500
Ta  0.125  0.625  0.250
Ta  0.375  0.375  0.750
Ta  0.875  0.875  0.750
Ta  0.625  0.125  0.250
Co  0.750  0.250  0.500
Co  0.000  0.000  0.000

Calculated values
- Formation energy: 0.79 eV per atom
- ΔE to the lowest computed polymorph: 961 meV per atom
- Total DFT energy (no corrections): -9.203 eV/atom



Entry 12:
Here is an optimized crystal structure of TaMn2Co6 from Alexandria via LeMat-Bulk. Energies are from GGA-PBE.

Unit cell a=6.598 b=6.598 c=6.306 alpha=41.05 beta=41.05 gamma=44.13
Site moments in Bohr magnetons follow the coordinates.
Element x y z (fractional)
Co  0.287  0.827  0.084  1.29
Co  0.827  0.287  0.084  1.29
Co  0.173  0.713  0.916  1.29
Co  0.273  0.273  0.487  1.61
Co  0.713  0.173  0.916  1.29
Co  0.727  0.727  0.513  1.61
Ta  0.500  0.500  0.500  -0.41
Mn  0.826  0.826  0.744  2.83
Mn  0.174  0.174  0.256  2.83

Calculated values
- Formation energy: 0.12 eV per atom
- Total DFT energy (no corrections): -7.969 eV/atom